Here is a geometry-optimized Ce2ReRu structure from the Alexandria database. Energies are from PBE.

a = 10.388 Å, b = 10.388 Å, c = 10.388 Å
α = 16.31°, β = 16.31°, γ = 16.31°
Fractional coordinates of all 4 atoms:
Ce1 0.089 0.089 0.089
Ce2 0.911 0.911 0.911
Re1 0.000 0.000 0.000
Ru1 0.500 0.500 0.500

Properties
Fermi-level density of states: 6.69 states/eV/f.u.
ΔH_f (0 K): 0.46 eV/atom
E_tot: -31.8 eV/cell
SG: No. 166
Size of the total moment: 0.0 μB per formula unit